Material: PbWSCl2
Method: DFT, PBE-GGA
State: optimized geometry

abc: 5.192 5.192 5.612
angles: 90.00 90.00 90.00
Last column: magnetic moment on the atom in μB.
Fractional coordinates of all 5 atoms:
W: 0.500 0.500 0.500  3.49
Pb: 0.000 0.000 0.000  0.00
Cl: 0.500 0.000 0.000  0.03
S: 0.000 0.000 0.500  -0.19
Cl: 0.000 0.500 0.000  0.03

Calculated values
energy above the most stable polymorph in this dataset	100.3	kJ per mole of atoms
magnetic moment	0.9165	μB/atom